Density functional theory data (PBE) for an optimized crystal structure of PaTcO6.

a b c (Å): 5.2552 5.2569 5.1480
angles (deg): 83.08 96.85 59.19
Element x y z (fractional)
Pa1 0.0000 0.0000 0.0000
Tc1 0.5000 0.5000 0.5000
O1 0.8619 0.4149 0.7316
O2 0.5849 0.1382 0.7318
O3 0.7328 0.2672 0.2765
O4 0.4151 0.8618 0.2682
O5 0.1381 0.5851 0.2684
O6 0.2672 0.7328 0.7235

## Properties
raw total energy	-0.3041	Ha/atom
ρ	5.96	g/cm³
E_form (uncorrected)	-2.075	eV per atom